[1]
Ca2CrRe: relaxed, PBE.

Values from the calculation:
DFT formation energy = 0.40 eV per atom
DFT total energy = -6.117 eV per atom
Distance to the lowest polymorph of the same formula = 12 meV per atom
Density of states at the Fermi level = 6.5 states/eV/cell

abc: 7.004 4.044 8.377
angles: 90.00 106.10 90.00
Space group Cm (No. 8)
One atom of each set of equivalent atoms:
Ca  0.000  0.000  0.000 [2 per cell]
Ca  0.178  0.000  0.538 [2 per cell]
Cr  0.421  0.000  0.266 [2 per cell]
Re  0.257  0.500  0.272 [2 per cell]

[2]
Ge2Pb2Br: relaxed, PBE.

Values from the calculation:
DFT total energy = -3.794 eV per atom
Uncorrected formation energy = -0.129 eV/atom
Distance to the lowest polymorph of the same formula = 0 meV per atom
Density of states at the Fermi level = 2.1 states/eV/cell

abc: 4.001 4.001 17.561
angles: 90.00 90.00 90.00
Space group I4/mmm (No. 139)
One atom of each set of equivalent atoms:
Ge  0.000  0.500  0.250 [4 per cell]
Pb  0.000  0.000  0.118 [4 per cell]
Br  0.000  0.000  0.500 [2 per cell]

[3]
NbTe2O: relaxed, PBE.

Values from the calculation:
DFT total energy = -5.600 eV per atom
Uncorrected formation energy = -0.272 eV/atom
Density of states at the Fermi level = 6.3 states/eV/cell

abc: 3.7795 3.7795 22.9016
angles: 90.00 90.00 120.00
Space group R-3m (No. 166, hexagonal axes)
One atom of each set of equivalent atoms:
Nb  0.0000  0.0000  0.0000 [3 per cell]
Te  0.0000  0.0000  0.4102 [6 per cell]
O  0.0000  0.0000  0.5000 [3 per cell]

[4]
NdSm3Al: relaxed, PBE.

Values from the calculation:
DFT formation energy = -0.12 eV per atom
DFT total energy = -4.655 eV per atom
Distance to the lowest polymorph of the same formula = 0 meV per atom
Density of states at the Fermi level = 11.3 states/eV/cell

abc: 3.755 8.717 9.886
angles: 103.73 100.93 90.00
Space group P-1 (No. 2)
One atom of each set of equivalent atoms:
Nd  0.098  0.045  0.197 [2 per cell]
Sm  0.303  0.187  0.605 [2 per cell]
Sm  0.316  0.616  0.631 [2 per cell]
Sm  0.499  0.709  0.999 [2 per cell]
Al  0.098  0.561  0.195 [2 per cell]

[5]
Ti5Ni: relaxed, PBE.

Values from the calculation:
DFT formation energy = -0.05 eV per atom
DFT total energy = -7.588 eV per atom
Density of states at the Fermi level = 19.4 states/eV/cell

abc: 3.187 13.298 4.493
angles: 90.00 90.00 90.00
Space group Cmmm (No. 65)
One atom of each set of equivalent atoms:
Ti  0.000  0.000  0.000 [2 per cell]
Ti  0.000  0.160  0.500 [4 per cell]
Ti  0.000  0.332  0.000 [4 per cell]
Ni  0.000  0.500  0.500 [2 per cell]

[6]
SmHoCo2: relaxed, PBE.

Values from the calculation:
DFT formation energy = -0.09 eV per atom
DFT total energy = -5.963 eV per atom
Distance to the lowest polymorph of the same formula = 77 meV per atom
Density of states at the Fermi level = 1.4 states/eV/cell

abc: 4.763 4.763 3.379
angles: 90.00 90.00 90.00
Space group P4/mmm (No. 123)
One atom of each set of equivalent atoms:
Sm  0.000  0.000  0.000 [1 per cell]
Ho  0.500  0.500  0.000 [1 per cell]
Co  0.000  0.500  0.500 [2 per cell]

[7]
SbH7F12: relaxed, PBE.

Values from the calculation:
DFT total energy = -4.307 eV per atom
Density of states at the Fermi level = 0.0 states/eV/cell

abc: 14.678 6.372 5.301
angles: 90.00 107.91 90.00
Space group C2 (No. 5)
One atom of each set of equivalent atoms:
Sb  0.000  0.000  0.000 [2 per cell]
H  0.000  0.500  0.500 [2 per cell]
H  0.135  0.498  0.611 [4 per cell]
H  0.185  0.996  0.818 [4 per cell]
H  0.226  0.495  0.398 [4 per cell]
F  0.072  0.500  0.668 [4 per cell]
F  0.077  0.210  0.221 [4 per cell]
F  0.077  0.790  0.221 [4 per cell]
F  0.085  0.000  0.778 [4 per cell]
F  0.218  0.497  0.583 [4 per cell]
F  0.245  0.493  0.165 [4 per cell]

[8]
NdYCoCu: relaxed, PBE.

Values from the calculation:
DFT formation energy = -0.10 eV per atom
DFT total energy = -5.710 eV per atom
Distance to the lowest polymorph of the same formula = 53 meV per atom
Density of states at the Fermi level = 14.5 states/eV/cell

abc: 6.942 6.942 6.942
angles: 90.00 90.00 90.00
Space group F-43m (No. 216)
One atom of each set of equivalent atoms:
Nd  0.000  0.000  0.000 [4 per cell]
Y  0.000  0.000  0.500 [4 per cell]
Co  0.250  0.250  0.250 [4 per cell]
Cu  0.250  0.250  0.750 [4 per cell]

[9]
Ca2ErLu: relaxed, PBE.

Values from the calculation:
DFT formation energy = 0.29 eV per atom
DFT total energy = -2.985 eV per atom
Density of states at the Fermi level = 19.3 states/eV/cell

abc: 3.5504 3.5504 38.6078
angles: 90.00 90.00 120.00
Space group R-3m (No. 166, hexagonal axes)
One atom of each set of equivalent atoms:
Ca  0.0000  0.0000  0.0873 [6 per cell]
Er  0.0000  0.0000  0.5000 [3 per cell]
Lu  0.0000  0.0000  0.0000 [3 per cell]

[10]
BaBe2Re: relaxed, PBE.

Values from the calculation:
DFT formation energy = 1.51 eV per atom
DFT total energy = -3.945 eV per atom
Distance to the lowest polymorph of the same formula = 1091 meV per atom
Density of states at the Fermi level = 6.1 states/eV/cell

abc: 4.128 4.128 8.570
angles: 90.00 90.00 90.00
Space group I-4m2 (No. 119)
One atom of each set of equivalent atoms:
Ba  0.000  0.000  0.000 [2 per cell]
Be  0.000  0.000  0.500 [2 per cell]
Be  0.000  0.500  0.750 [2 per cell]
Re  0.000  0.500  0.250 [2 per cell]

[11]
ZnGaSeO5: relaxed, PBE.

Values from the calculation:
DFT total energy = -5.107 eV per atom
Uncorrected formation energy = -1.034 eV/atom
Density of states at the Fermi level = 9.9 states/eV/cell

abc: 7.728 7.937 7.568
angles: 90.00 118.99 90.00
Space group C2/c (No. 15)
One atom of each set of equivalent atoms:
Zn  0.000  0.206  0.250 [4 per cell]
Ga  0.000  0.500  0.000 [4 per cell]
Se  0.000  0.162  0.750 [4 per cell]
O  0.000  0.453  0.250 [4 per cell]
O  0.015  0.248  0.523 [8 per cell]
O  0.182  0.009  0.847 [8 per cell]

[12]
Ta2CrMo: relaxed, PBE.

Values from the calculation:
DFT formation energy = -0.10 eV per atom
DFT total energy = -11.140 eV per atom
Density of states at the Fermi level = 3.7 states/eV/cell

abc: 3.172 3.172 6.327
angles: 90.00 90.00 90.00
Space group P4/mmm (No. 123)
One atom of each set of equivalent atoms:
Ta  0.000  0.000  0.242 [2 per cell]
Cr  0.500  0.500  0.000 [1 per cell]
Mo  0.500  0.500  0.500 [1 per cell]

[13]
Li3Ge2Se4: relaxed, PBE.

Values from the calculation:
DFT total energy = -3.849 eV per atom
Uncorrected formation energy = -0.637 eV/atom
Density of states at the Fermi level = 7.4 states/eV/cell

abc: 14.352 7.158 8.189
angles: 90.00 91.60 90.00
Space group C2/c (No. 15)
One atom of each set of equivalent atoms:
Li  0.000  0.005  0.250 [4 per cell]
Li  0.111  0.445  0.705 [8 per cell]
Ge  0.189  0.128  0.971 [8 per cell]
Se  0.040  0.271  0.001 [8 per cell]
Se  0.225  0.122  0.669 [8 per cell]

[14]
Tm5ZnIn2: relaxed, PBE.

Values from the calculation:
DFT formation energy = -0.24 eV per atom
DFT total energy = -3.877 eV per atom
Density of states at the Fermi level = 29.4 states/eV/cell

abc: 4.508 10.880 16.928
angles: 90.00 90.00 90.00
Space group Cmcm (No. 63)
One atom of each set of equivalent atoms:
Tm  0.000  0.045  0.102 [8 per cell]
Tm  0.000  0.347  0.038 [8 per cell]
Tm  0.000  0.451  0.250 [4 per cell]
Zn  0.000  0.166  0.250 [4 per cell]
In  0.000  0.247  0.656 [8 per cell]

[15]
Cu3GeAu6: relaxed, PBE.

Values from the calculation:
DFT formation energy = 0.04 eV per atom
DFT total energy = -3.622 eV per atom
Density of states at the Fermi level = 4.3 states/eV/cell

abc: 7.753 5.529 10.903
angles: 90.00 134.58 90.00
Space group P2_1/c (No. 14)
One atom of each set of equivalent atoms:
Cu  0.000  0.000  0.000 [2 per cell]
Cu  0.254  0.227  0.752 [4 per cell]
Ge  0.500  0.000  0.500 [2 per cell]
Au  0.099  0.736  0.248 [4 per cell]
Au  0.232  0.601  0.062 [4 per cell]
Au  0.386  0.098  0.066 [4 per cell]

[16]
NaGaHg2Pb: relaxed, PBE.

Values from the calculation:
DFT formation energy = 0.08 eV per atom
DFT total energy = -1.649 eV per atom
Density of states at the Fermi level = 3.0 states/eV/cell

abc: 5.287 5.287 5.652
angles: 90.00 90.00 90.00
Space group P4/mmm (No. 123)
One atom of each set of equivalent atoms:
Na  0.000  0.000  0.000 [1 per cell]
Ga  0.500  0.500  0.500 [1 per cell]
Hg  0.000  0.500  0.500 [2 per cell]
Pb  0.500  0.500  0.000 [1 per cell]

[17]
HfZn3Pt4: relaxed, PBE.

Values from the calculation:
DFT formation energy = -0.75 eV per atom
DFT total energy = -5.491 eV per atom
Density of states at the Fermi level = 2.9 states/eV/cell

abc: 9.203 5.747 4.713
angles: 90.00 90.00 90.00
Space group Pmma (No. 51)
One atom of each set of equivalent atoms:
Hf  0.000  0.000  0.000 [2 per cell]
Zn  0.000  0.500  0.000 [2 per cell]
Zn  0.250  0.000  0.415 [2 per cell]
Zn  0.250  0.500  0.403 [2 per cell]
Pt  0.000  0.257  0.500 [4 per cell]
Pt  0.250  0.258  0.903 [4 per cell]

[18]
RePPb: relaxed, PBE.

Values from the calculation:
DFT formation energy = 0.07 eV per atom
DFT total energy = -7.118 eV per atom
Distance to the lowest polymorph of the same formula = 72 meV per atom
Density of states at the Fermi level = 1.0 states/eV/cell

abc: 6.380 3.210 6.895
angles: 90.00 113.98 90.00
Space group P2_1/m (No. 11)
One atom of each set of equivalent atoms:
Re  0.023  0.250  0.177 [2 per cell]
P  0.283  0.750  0.162 [2 per cell]
Pb  0.246  0.250  0.644 [2 per cell]

[19]
Ce2Cl3: relaxed, PBE.

Values from the calculation:
DFT total energy = -5.050 eV per atom
Uncorrected formation energy = -1.569 eV/atom
Density of states at the Fermi level = 100.4 states/eV/cell

abc: 12.657 13.246 6.042
angles: 90.00 90.00 90.00
Space group Fdd2 (No. 43)
One atom of each set of equivalent atoms:
Ce  0.052  0.352  0.000 [16 per cell]
Cl  0.000  0.000  0.824 [8 per cell]
Cl  0.117  0.292  0.558 [16 per cell]

[20]
RbNiIr2: relaxed, PBE.

Values from the calculation:
DFT formation energy = 0.96 eV per atom
DFT total energy = -5.158 eV per atom
Distance to the lowest polymorph of the same formula = 0 meV per atom
Density of states at the Fermi level = 25.0 states/eV/cell

abc: 4.884 4.884 16.917
angles: 90.00 90.00 90.00
Space group I-42d (No. 122)
One atom of each set of equivalent atoms:
Rb  0.000  0.000  0.000 [4 per cell]
Ni  0.000  0.000  0.500 [4 per cell]
Ir  0.026  0.250  0.625 [8 per cell]